1.
{
  "formula": "CeNp2PdS4",
  "functional": "PBE",
  "state": "optimized geometry",
  "e_tot_ev_per_atom": -7.91,
  "total_magnetization_mub_per_fu": 9.8,
  "formation_energy_uncorrected_mev_per_atom": -1218,
  "lattice": [[6.7103, 0.0000, 0.0000], [3.3552, 4.8370, 0.0000], [3.3552, 0.0000, 4.8370]],
  "species": ["Ce", "S", "Pd", "Np", "Np", "S", "S", "S"],
  "fractional_positions": [[0.0000, 0.0000, 0.0000], [0.5070, 0.5754, 0.0000], [0.5000, 0.0000, 0.0000], [0.5000, 0.5000, 0.5000], [0.0000, 0.5000, 0.5000], [0.9176, 0.0000, 0.5754], [0.4930, 0.0000, 0.4246], [0.0824, 0.4246, 0.0000]]
}

2.
{
  "formula": "Tb3AsI7",
  "functional": "PBE",
  "state": "optimized geometry",
  "e_tot_ev_per_atom": -3.89,
  "total_magnetization_mub_per_fu": 1.1,
  "formation_energy_uncorrected_mev_per_atom": -1216,
  "lattice": [[-4.7299, 5.6739, 0.8886], [0.6439, -0.8405, 8.7940], [5.5729, 5.3285, -4.3595]],
  "species": ["I", "I", "As", "I", "I", "I", "I", "Tb", "Tb", "I", "Tb"],
  "fractional_positions": [[0.0153, 0.1716, 0.3432], [0.5468, 0.3412, 0.1706], [0.5931, 0.3333, 0.6667], [0.0209, 0.6667, 0.3333], [0.0153, 0.6568, 0.8284], [0.5468, 0.8294, 0.1706], [0.0153, 0.1716, 0.8284], [0.7716, 0.4956, 0.5044], [0.7716, 0.0087, 0.5044], [0.5468, 0.8294, 0.6588], [0.7716, 0.4956, 0.9913]]
}

3.
{
  "formula": "MgTe2O",
  "functional": "PBE",
  "state": "optimized geometry",
  "relative_energy_ev_per_atom": 0.452,
  "e_tot_ev_per_atom": -3.08,
  "total_magnetization_mub_per_fu": 0.0,
  "formation_energy_uncorrected_mev_per_atom": 132,
  "lattice": [[0.0000, 3.4198, 3.4198], [3.4198, 0.0000, 3.4198], [3.4198, 3.4198, 0.0000]],
  "species": ["Mg", "Te", "Te", "O"],
  "fractional_positions": [[0.5000, 0.5000, 0.5000], [0.7500, 0.7500, 0.7500], [0.2500, 0.2500, 0.2500], [0.0000, 0.0000, 0.0000]]
}

4.
{
  "formula": "Ba2NpGaSe5",
  "functional": "PBE",
  "state": "optimized geometry",
  "e_tot_ev_per_atom": -5.55,
  "total_magnetization_mub_per_fu": 3.8,
  "formation_energy_uncorrected_mev_per_atom": -1415,
  "lattice": [[-2.8354, 3.2654, 0.1983], [-2.6936, -4.7155, -8.1190], [-8.3157, -7.6586, 7.2070]],
  "species": ["Ba", "Se", "Ba", "Np", "Se", "Ba", "Ba", "Se", "Se", "Ga", "Ga", "Se", "Se", "Se", "Se", "Np", "Se", "Se"],
  "fractional_positions": [[0.1193, 0.2386, 0.6867], [0.6514, 0.3027, 0.5095], [0.8807, 0.7614, 0.1867], [0.7996, 0.5992, 0.5241], [0.9574, 0.9149, 0.5292], [0.1255, 0.2509, 0.3285], [0.8745, 0.7491, 0.8285], [0.7029, 0.4058, 0.1666], [0.4993, 0.9987, 0.7728], [0.4430, 0.8860, 0.4319], [0.5570, 0.1140, 0.9319], [0.3486, 0.6973, 0.0095], [0.5007, 0.0013, 0.2728], [0.6849, 0.3697, 0.8745], [0.0426, 0.0851, 0.0292], [0.2004, 0.4008, 0.0241], [0.3151, 0.6303, 0.3745], [0.2971, 0.5942, 0.6666]]
}

5.
{
  "formula": "Sm2VFe16",
  "functional": "PBE",
  "state": "optimized geometry",
  "delta_e_f_kj_per_mol_atoms": -1,
  "e_tot_ev_per_atom": -8.12,
  "total_magnetization_mub_per_fu": 33.5,
  "lattice": [[-3.7819, 4.8073, 1.9835], [-4.1228, -3.5527, 3.4246], [2.7334, 0.8803, 5.7533]],
  "species": ["Fe", "Fe", "Sm", "Fe", "Fe", "Fe", "Fe", "Fe", "Fe", "Fe", "Fe", "Fe", "Sm", "Fe", "Fe", "V", "Fe", "Fe", "Fe"],
  "fractional_positions": [[0.4996, 0.0009, 0.0009], [0.0009, 0.4996, 0.0009], [0.3452, 0.3452, 0.3452], [0.7009, 0.2983, 0.9995], [0.0009, 0.0009, 0.4996], [0.7009, 0.9995, 0.2983], [0.6603, 0.1559, 0.6603], [0.6603, 0.6603, 0.1559], [0.9995, 0.2983, 0.7009], [0.9995, 0.7009, 0.2983], [0.3399, 0.8437, 0.3399], [0.3399, 0.3399, 0.8437], [0.6592, 0.6592, 0.6592], [0.9069, 0.9069, 0.9069], [0.2983, 0.7009, 0.9995], [0.0899, 0.0899, 0.0899], [0.2983, 0.9995, 0.7009], [0.1559, 0.6603, 0.6603], [0.8437, 0.3399, 0.3399]]
}

6.
{
  "formula": "Sc2ZnPb",
  "functional": "PBE",
  "state": "optimized geometry",
  "delta_e_f_kj_per_mol_atoms": -17,
  "e_tot_ev_per_atom": -4.58,
  "total_magnetization_mub_per_fu": 0.0,
  "lattice": [[3.4701, 0.0000, 0.0000], [0.0000, 4.3660, 0.0000], [0.0000, 0.0000, 6.0796]],
  "species": ["Sc", "Zn", "Pb", "Sc"],
  "fractional_positions": [[0.0000, 0.0000, 0.9963], [0.0000, 0.0000, 0.4576], [0.5000, 0.5000, 0.7676], [0.5000, 0.5000, 0.2784]]
}

7.
{
  "formula": "TlBiAu4",
  "functional": "PBE",
  "state": "optimized geometry",
  "delta_e_f_kj_per_mol_atoms": -1,
  "e_tot_ev_per_atom": -3.24,
  "total_magnetization_mub_per_fu": 0.0,
  "lattice": [[-5.0818, -2.2878, 1.3063], [-0.9617, -5.5634, -0.9432], [-0.4620, -3.6134, 4.4154]],
  "species": ["Au", "Bi", "Tl", "Au", "Au", "Au"],
  "fractional_positions": [[0.6251, 0.1246, 0.6251], [0.0000, 0.0000, 0.0000], [0.2500, 0.2500, 0.2500], [0.6251, 0.6251, 0.1246], [0.6251, 0.6251, 0.6251], [0.1246, 0.6251, 0.6251]]
}

8.
{
  "formula": "NbVCr2",
  "functional": "PBE",
  "state": "optimized geometry",
  "relative_energy_ev_per_atom": 0.154,
  "delta_e_f_kj_per_mol_atoms": 15,
  "e_tot_ev_per_atom": -9.45,
  "total_magnetization_mub_per_fu": 0.0,
  "lattice": [[4.4631, 0.0000, 0.0000], [0.0000, 5.0254, 0.0000], [0.0000, 0.0000, 9.9747]],
  "species": ["Cr", "Cr", "Cr", "Nb", "Nb", "Cr", "V", "Nb", "Nb", "Cr", "V", "Cr", "V", "V", "Cr", "Cr"],
  "fractional_positions": [[0.2500, 0.0259, 0.1849], [0.2500, 0.5259, 0.3151], [0.2500, 0.6471, 0.5272], [0.7500, 0.8012, 0.3194], [0.2500, 0.1988, 0.6806], [0.7500, 0.8529, 0.0272], [0.2500, 0.5902, 0.0813], [0.2500, 0.6988, 0.8194], [0.7500, 0.3012, 0.1806], [0.7500, 0.9741, 0.8151], [0.2500, 0.0902, 0.4187], [0.2500, 0.1471, 0.9728], [0.7500, 0.4098, 0.9187], [0.7500, 0.9098, 0.5813], [0.7500, 0.4741, 0.6849], [0.7500, 0.3529, 0.4728]]
}